Below is an optimized crystal structure of Pr19Y4Tm6, with properties calculated at the PBE level.

Cell: 11.0769 11.0769 11.0769 Å, 109.47 109.47 109.47°
Atoms (fractional coordinates):
Tm  0.3754  0.5000  0.8754
Pr  0.6745  0.6571  0.4562
Pr  0.3255  0.7817  0.9826
Pr  0.0000  0.7371  0.7371
Pr  0.7817  0.9826  0.3255
Y  0.0000  0.6406  0.0000
Tm  0.5000  0.1246  0.6246
Y  0.0000  0.0000  0.6406
Pr  0.2629  0.2629  0.0000
Y  0.6406  0.0000  0.0000
Tm  0.5000  0.8754  0.3754
Pr  0.7371  0.0000  0.7371
Pr  0.4562  0.6745  0.6571
Y  0.3594  0.3594  0.3594
Pr  0.0174  0.7991  0.3429
Pr  0.2183  0.5438  0.2009
Pr  0.5438  0.2009  0.2183
Tm  0.8754  0.3754  0.5000
Pr  0.3429  0.0174  0.7991
Tm  0.1246  0.6246  0.5000
Pr  0.2009  0.2183  0.5438
Pr  0.7991  0.3429  0.0174
Tm  0.6246  0.5000  0.1246
Pr  0.7371  0.7371  0.0000
Pr  0.2629  0.0000  0.2629
Pr  0.0000  0.0000  0.0000
Pr  0.9826  0.3255  0.7817
Pr  0.6571  0.4562  0.6745
Pr  0.0000  0.2629  0.2629

## Properties
size of the total moment	0.00	μB/f.u.
E_form	0.37	eV per atom
calculated density	6.42	g/cm³



Below is an optimized crystal structure of PmNd2Rh, with properties calculated at the PBE level.

Cell: 3.7830 3.7830 10.9157 Å, 80.02 80.02 60.00°
Each line ends with the local moment (μB).
Atoms (fractional coordinates):
Nd  0.8887  0.8887  0.3338  0.05
Pm  0.0000  0.0000  0.0000  0.26
Nd  0.1113  0.1113  0.6662  0.05
Rh  0.5000  0.5000  0.5000  0.00

## Properties
energy above the most stable polymorph in this dataset	0.332	eV per atom
size of the total moment	0.79	μB/f.u.
E_form	-0.10	eV per atom
calculated density	6.72	g/cm³



Below is an optimized crystal structure of LiAu2Cl, with properties calculated at the PBE level.

Cell: 5.0917 5.0917 5.0917 Å, 131.15 98.12 101.58°
Atoms (fractional coordinates):
Cl  0.5658  0.5658  0.0000
Au  0.9829  0.9829  0.0000
Li  0.7158  0.2158  0.5000
Au  0.2355  0.7355  0.5000

## Properties
energy above the most stable polymorph in this dataset	0.326	eV per atom
size of the total moment	0.00	μB/f.u.
calculated density	8.01	g/cm³
formation energy from raw total energies	-0.25	eV per atom



Below is an optimized crystal structure of Ba3Tl5In2Bi2, with properties calculated at the PBE level.

Cell: 5.0346 5.0346 17.2873 Å, 98.37 98.37 90.00°
Atoms (fractional coordinates):
Tl  0.4215  0.9215  0.8430
Tl  0.0785  0.5785  0.1570
Tl  0.5000  0.5000  0.0000
In  0.6337  0.6337  0.2675
In  0.3663  0.3663  0.7325
Ba  0.1784  0.1784  0.3567
Tl  0.5785  0.0785  0.1570
Bi  0.7183  0.7183  0.4365
Tl  0.9215  0.4215  0.8430
Ba  0.8216  0.8216  0.6433
Bi  0.2817  0.2817  0.5635
Ba  0.0000  0.0000  0.0000

## Properties
size of the total moment	0.00	μB/f.u.
E_form	-0.31	eV per atom
calculated density	8.06	g/cm³